Below is an optimized crystal structure of LaHo2Au3, with properties calculated at the PBE-GGA level.

Values from the calculation:
Formation energy from the elements = -5.1 eV/f.u.
Space-group type = No. 123
DFT total energy = -28.98 eV/cell

Geometry as CIF:
```
data_LaHo2Au3
_cell_length_a 3.612
_cell_length_b 3.612
_cell_length_c 11.132
_cell_angle_alpha 90.00
_cell_angle_beta 90.00
_cell_angle_gamma 90.00
_symmetry_space_group_name_H-M 'P 1'
_symmetry_Int_Tables_number 1
loop_
_symmetry_equiv_pos_as_xyz
'x,y,z'
loop_
_atom_site_label
_atom_site_type_symbol
_atom_site_fract_x
_atom_site_fract_y
_atom_site_fract_z
La1 La 0.500 0.500 0.500
Ho1 Ho 0.500 0.500 0.839
Ho2 Ho 0.500 0.500 0.161
Au1 Au 0.000 0.000 0.000
Au2 Au 0.000 0.000 0.689
Au3 Au 0.000 0.000 0.311
```